Material: GdCu
Method: DFT, PBE
State: optimized geometry

```
2
Lattice="3.488 0.000 0.000 0.000 3.488 0.000 0.000 0.000 3.488" Properties=species:S:1:pos:R:3 pbc="T T T"
Gd 1.744 1.744 1.744
Cu 0.000 0.000 0.000
```

Properties
- Mass density: 8.641 g/cm3
- Formation energy from the elements: -0.222 eV per atom

***

Material: GdCuGe
Method: DFT, PBE
State: optimized geometry

```
3
Lattice="3.950 0.093 2.460 -0.114 0.975 4.550 0.878 -3.341 3.119" Properties=species:S:1:pos:R:3 pbc="T T T"
Cu 1.178 -0.568 2.532
Gd 0.000 0.000 0.000
Ge 3.535 -1.705 7.597
```

Properties
- Mass density: 6.835 g/cm3
- Uncorrected energy: -4.24 eV per atom

***

Material: GdCuGe
Method: DFT, PBE
State: optimized geometry

```
3
Lattice="0.000 3.126 3.126 3.126 0.000 3.126 3.126 3.126 0.000" Properties=species:S:1:pos:R:3 pbc="T T T"
Cu 0.000 0.000 0.000
Ge 4.689 4.689 4.689
Gd 1.563 1.563 1.563
```

Properties
- Mass density: 7.977 g/cm3
- Uncorrected energy: -4.90 eV per atom

***

Material: GdHo2Cu4Ge4
Method: DFT, PBE
State: optimized geometry

```
11
Lattice="-6.593 3.196 3.249 -3.188 6.749 -2.920 2.132 -7.656 -1.035" Properties=species:S:1:pos:R:3 pbc="T T T"
Cu -4.618 1.909 0.795
Cu -7.926 5.272 0.906
Cu 0.278 -2.983 -1.612
Cu -3.030 0.379 -1.501
Gd 0.000 0.000 0.000
Ge -5.738 4.125 0.585
Ge -7.656 7.784 0.257
Ge -1.911 -1.837 -1.291
Ge -2.125 2.161 0.071
Ho -4.145 3.224 -1.856
Ho -3.503 -0.936 1.150
```

Properties
- Mass density: 8.762 g/cm3
- Uncorrected energy: -4.92 eV per atom

***

Material: GdHoCu2Ge2
Method: DFT, PBE
State: optimized geometry

```
6
Lattice="-0.084 -0.130 -4.249 -3.602 -0.454 2.213 -1.042 7.282 -0.203" Properties=species:S:1:pos:R:3 pbc="T T T"
Gd -0.258 1.799 -0.050
Cu -3.435 6.678 -0.137
Cu -1.761 3.286 -2.193
Ho -0.780 5.446 -0.152
Ge -2.973 3.454 -0.047
Ge -1.271 -0.138 -2.098
```

Properties
- Mass density: 8.570 g/cm3
- Uncorrected energy: -5.01 eV per atom

***

Material: Gd4InCu2Ge4
Method: DFT, PBE
State: optimized geometry

```
11
Lattice="-5.580 3.365 4.897 -7.194 -0.461 3.805 4.910 -3.253 4.147" Properties=species:S:1:pos:R:3 pbc="T T T"
Cu 0.366 -1.446 4.528
Cu -8.230 1.097 8.320
Ge -1.306 -0.248 2.798
Ge 2.448 -1.968 3.280
Ge -10.312 1.619 9.569
Ge -6.558 -0.102 10.050
In 0.000 0.000 0.000
Gd -5.653 0.463 6.731
Gd -2.211 -0.813 6.118
Gd -4.110 0.790 3.307
Gd -3.754 -1.139 9.541
```

Properties
- Mass density: 8.365 g/cm3
- Uncorrected energy: -5.00 eV per atom

***

Material: TbGd2In3CuGe2
Method: DFT, PBE
State: optimized geometry

```
9
Lattice="-2.951 -1.473 -2.705 -5.356 2.169 4.661 2.473 4.653 -5.230" Properties=species:S:1:pos:R:3 pbc="T T T"
Gd -3.881 4.943 1.541
Gd -0.722 5.945 -2.450
Cu -0.002 0.006 0.000
In -0.877 0.392 -2.619
In -2.773 -0.210 -0.224
In -3.660 4.432 -1.784
Ge -4.218 2.259 0.007
Ge -1.614 3.085 -3.282
Tb -1.163 2.752 -0.230
```

Properties
- Mass density: 8.370 g/cm3
- Uncorrected energy: -4.47 eV per atom

***

Material: LaGd2Cu4Ge4
Method: DFT, PBE
State: optimized geometry

```
11
Lattice="1.462 -7.911 -1.221 -5.568 -5.623 1.895 2.208 6.521 -4.338" Properties=species:S:1:pos:R:3 pbc="T T T"
Cu -1.605 -9.488 -1.279
Cu -0.292 2.474 -2.385
Cu -0.217 -4.912 -1.507
Cu -1.681 -2.102 -2.158
Ge -0.521 0.010 -2.977
Ge -3.206 -10.568 0.526
Ge -0.900 -2.966 0.148
Ge -1.377 -7.023 -0.687
La 0.000 0.000 0.000
Gd -3.196 -4.548 -0.973
Gd 1.298 -2.466 -2.691
```

Properties
- Mass density: 8.095 g/cm3
- Uncorrected energy: -4.95 eV per atom

***

Material: GdLuCu2Ge2
Method: DFT, PBE
State: optimized geometry

```
6
Lattice="4.247 0.000 0.000 -2.123 3.678 0.000 0.000 0.000 7.237" Properties=species:S:1:pos:R:3 pbc="T T T"
Lu 0.000 0.000 1.801
Cu 2.123 1.226 3.265
Cu 0.000 2.452 7.164
Ge 0.000 2.452 3.712
Ge 2.123 1.226 0.210
Gd 0.000 0.000 5.406
```

Properties
- Mass density: 8.883 g/cm3
- Uncorrected energy: -4.99 eV per atom

***

Material: Gd2LuCu4Ge4
Method: DFT, PBE
State: optimized geometry

```
11
Lattice="-2.115 3.312 6.984 2.115 -3.312 6.984 2.115 3.312 -6.984" Properties=species:S:1:pos:R:3 pbc="T T T"
Ge 0.000 0.000 3.002
Ge 0.000 0.000 10.966
Ge 2.115 2.016 0.000
Ge 0.000 1.296 6.984
Cu 2.115 1.254 2.356
Cu 0.000 2.058 4.628
Cu 0.000 2.058 9.340
Cu 2.115 1.254 -2.356
Gd 2.115 0.000 5.163
Gd 0.000 3.312 1.822
Lu 0.000 0.000 0.000
```

Properties
- Mass density: 8.776 g/cm3
- Uncorrected energy: -4.91 eV per atom

***

Material: GdNb2CuGe2
Method: DFT, PBE
State: optimized geometry

```
6
Lattice="-3.699 1.381 0.094 -0.542 -1.691 3.527 2.471 6.382 3.440" Properties=species:S:1:pos:R:3 pbc="T T T"
Ge 1.879 4.854 2.616
Ge -1.449 1.579 2.745
Nb -1.809 0.796 0.104
Nb -0.230 -0.740 1.821
Gd -0.529 3.955 4.026
Cu 0.718 1.856 1.000
```

Properties
- Mass density: 7.671 g/cm3
- Uncorrected energy: -6.60 eV per atom

***

Material: NdGd2Cu4Ge4
Method: DFT, PBE
State: optimized geometry

```
11
Lattice="-2.251 -7.284 -2.694 3.361 -6.757 2.904 -4.285 6.745 1.235" Properties=species:S:1:pos:R:3 pbc="T T T"
Ge 0.241 -3.046 0.046
Ge -0.674 -7.122 -0.170
Ge 0.870 -10.995 0.164
Ge -2.500 -0.174 1.614
Cu -1.662 -4.812 -0.384
Cu -1.512 -2.483 1.828
Cu -1.888 2.268 1.757
Cu -1.286 -9.563 -0.313
Gd -0.052 -5.187 2.147
Gd -3.122 -2.108 -0.702
Nd 0.000 0.000 0.000
```

Properties
- Mass density: 8.305 g/cm3
- Uncorrected energy: -4.94 eV per atom

***

Material: NdGd2Cu4Sn2Ge2
Method: DFT, PBE
State: optimized geometry

```
11
Lattice="2.830 -7.611 -1.959 0.585 -6.117 5.658 -4.685 5.488 -4.208" Properties=species:S:1:pos:R:3 pbc="T T T"
Ge -2.629 -0.978 -1.201
Ge 1.359 -7.263 0.692
Cu -2.944 1.475 -1.027
Cu 0.585 -5.336 -0.662
Cu 1.674 -9.715 0.518
Cu -1.855 -2.904 0.153
Sn 0.748 -3.007 0.810
Sn 2.666 -10.721 2.888
Gd -0.773 -5.450 2.108
Gd -0.498 -2.790 -2.618
Nd 0.000 0.000 0.000
```

Properties
- Mass density: 8.352 g/cm3
- Offset from the most stable computed form: 0 meV/atom

***

Material: NdGd2Cu4Sn2Ge2
Method: DFT, PBE
State: optimized geometry

```
11
Lattice="-2.161 3.514 7.231 2.161 -3.514 7.231 2.161 3.514 -7.231" Properties=species:S:1:pos:R:3 pbc="T T T"
Cu 2.161 1.297 2.519
Cu 0.000 2.217 9.749
Cu 2.161 1.297 -2.519
Cu 0.000 2.217 4.712
Gd 0.000 3.514 1.979
Gd 2.161 0.000 5.251
Ge 0.000 0.000 3.150
Ge 0.000 0.000 11.311
Nd 0.000 0.000 0.000
Sn 0.000 1.386 7.231
Sn 2.161 2.128 0.000
```

Properties
- Mass density: 8.283 g/cm3
- Offset from the most stable computed form: 77 meV/atom

***

Material: GdCuNiGe2
Method: DFT, PBE
State: optimized geometry

```
5
Lattice="-2.035 2.035 5.057 2.035 -2.035 5.057 2.035 2.035 -5.057" Properties=species:S:1:pos:R:3 pbc="T T T"
Ni 0.000 2.035 2.528
Ge 0.000 0.000 6.309
Ge 0.000 0.000 3.804
Cu 2.035 0.000 2.528
Gd 0.000 0.000 0.000
```

Properties
- Mass density: 8.423 g/cm3
- Uncorrected energy: -5.25 eV per atom

***

Material: GdCuGe2Pd
Method: DFT, PBE
State: optimized geometry

```
5
Lattice="1.615 -4.249 3.907 -3.980 -2.528 3.701 0.623 1.331 -5.811" Properties=species:S:1:pos:R:3 pbc="T T T"
Gd 0.528 -3.154 0.950
Ge -2.548 -3.091 1.743
Ge -1.991 -1.495 -0.049
Cu 0.000 0.000 0.000
Pd -1.183 -3.389 3.804
```

Properties
- Mass density: 8.744 g/cm3
- Uncorrected energy: -5.23 eV per atom

***

Material: Pr2GdCu4Ge4
Method: DFT, PBE
State: optimized geometry

```
11
Lattice="-2.170 3.346 7.151 2.170 -3.346 7.151 2.170 3.346 -7.151" Properties=species:S:1:pos:R:3 pbc="T T T"
Cu 0.000 2.102 9.532
Cu 2.170 1.244 2.381
Cu 0.000 2.102 4.770
Cu 2.170 1.244 -2.381
Pr 0.000 3.346 1.894
Pr 2.170 0.000 5.257
Ge 0.000 0.000 11.234
Ge 0.000 0.000 3.068
Ge 2.170 2.052 0.000
Ge 0.000 1.294 7.151
Gd 0.000 0.000 0.000
```

Properties
- Mass density: 7.867 g/cm3
- Uncorrected energy: -4.92 eV per atom

***

Material: PrGdCu2Ge4
Method: DFT, PBE
State: optimized geometry

```
8
Lattice="4.235 0.000 0.000 0.000 2.119 8.590 0.000 -2.119 8.590" Properties=species:S:1:pos:R:3 pbc="T T T"
Ge 0.000 0.000 12.870
Ge 2.118 0.000 9.264
Ge 2.118 0.000 4.263
Ge 0.000 0.000 7.958
Pr 2.118 0.000 15.394
Cu 0.000 0.000 5.583
Cu 2.118 0.000 11.586
Gd 0.000 0.000 1.799
```

Properties
- Mass density: 7.710 g/cm3
- Uncorrected energy: -4.98 eV per atom

***

Material: PrGd2Cu4Ge4
Method: DFT, PBE
State: optimized geometry

```
11
Lattice="-2.122 3.371 7.056 2.122 -3.371 7.056 2.122 3.371 -7.056" Properties=species:S:1:pos:R:3 pbc="T T T"
Cu 0.000 2.095 9.442
Cu 2.122 1.277 2.386
Cu 2.122 1.277 -2.386
Cu 0.000 2.095 4.670
Gd 2.122 0.000 5.208
Gd 0.000 3.371 1.848
Ge 0.000 0.000 11.041
Ge 0.000 0.000 3.070
Ge 0.000 1.261 7.056
Ge 2.122 2.110 0.000
Pr 0.000 0.000 0.000
```

Properties
- Mass density: 8.226 g/cm3
- Uncorrected energy: -4.93 eV per atom

***

Material: Gd3CuGeS7
Method: DFT, PBE
State: optimized geometry

```
24
Lattice="9.963 0.000 0.000 -4.982 8.628 0.000 0.000 0.000 5.800" Properties=species:S:1:pos:R:3 pbc="T T T"
S -3.221 7.233 1.276
S -1.591 4.476 2.853
S 0.000 5.752 5.520
S 8.203 1.395 4.176
S 4.981 2.876 2.620
S -0.310 7.769 2.853
S 1.901 5.013 2.853
S 2.893 7.802 1.276
S 0.328 2.222 1.276
S 2.089 0.827 4.176
S 5.291 0.860 5.753
S 3.080 3.616 5.753
S 4.653 6.406 4.176
S 6.572 4.152 5.753
Gd 2.076 7.507 4.343
Gd 2.906 1.122 1.443
Gd 7.539 1.955 1.443
Gd 0.481 3.077 4.343
Gd 4.500 5.551 1.443
Gd -2.557 6.673 4.343
Ge 4.982 2.876 4.824
Ge 0.000 5.752 1.924
Cu 0.000 0.000 1.191
Cu 0.000 0.000 4.091
```

Properties
- Mass density: 5.545 g/cm3
- Uncorrected energy: -5.72 eV per atom

***

Material: GdCuGeS3
Method: DFT, PBE
State: optimized geometry

```
12
Lattice="1.896 -6.213 0.000 1.896 6.213 0.000 0.000 0.000 10.320" Properties=species:S:1:pos:R:3 pbc="T T T"
Ge 1.896 2.879 2.580
Ge 1.896 -2.879 7.740
S 1.896 -1.110 2.580
S 1.896 4.394 5.981
S 1.896 -4.394 4.339
S 1.896 4.394 9.499
S 1.896 -4.394 0.821
S 1.896 1.110 7.740
Gd 1.896 0.000 0.000
Gd 1.896 0.000 5.160
Cu 1.896 -5.896 2.580
Cu 1.896 5.896 7.740
```

Properties
- Mass density: 5.322 g/cm3
- Uncorrected energy: -5.14 eV per atom

***

Material: GdCuGeSe2S
Method: DFT, PBE
State: optimized geometry

```
12
Lattice="1.948 -6.520 0.000 1.948 6.520 0.000 0.000 0.000 10.303" Properties=species:S:1:pos:R:3 pbc="T T T"
Se 1.948 4.542 4.374
Se 1.948 4.542 0.778
Se 1.948 -4.542 5.929
Se 1.948 -4.542 9.526
Ge 1.948 3.105 7.727
Ge 1.948 -3.105 2.576
Cu 1.948 -6.242 7.727
Cu 1.948 6.242 2.576
Gd 1.948 0.000 5.152
Gd 1.948 0.000 0.000
S 1.948 1.078 2.576
S 1.948 -1.078 7.727
```

Properties
- Mass density: 6.133 g/cm3
- Uncorrected energy: -4.86 eV per atom

***

Material: GdCuGeTe2S
Method: DFT, PBE
State: optimized geometry

```
12
Lattice="-1.147 7.402 -0.613 -1.580 -6.965 -2.340 -7.568 -0.601 6.898" Properties=species:S:1:pos:R:3 pbc="T T T"
Te -4.702 -2.276 1.237
Te -8.352 1.893 5.223
Te -5.593 2.112 2.708
Te -1.943 -2.057 -1.278
Gd 0.000 0.000 0.000
Gd -3.784 -0.301 3.449
S -3.443 -6.170 -0.502
S -6.852 6.006 4.447
Ge -7.153 -4.005 3.243
Ge -3.142 3.841 0.701
Cu -3.264 -0.208 0.215
Cu -7.031 0.044 3.730
```

Properties
- Mass density: 6.423 g/cm3
- Uncorrected energy: -4.54 eV per atom

***

| no. | magnetic moment (Bohr magnetons per cell) |
| --- | --- |
| 1 | 0.00 |
| 2 | 0.00 |
| 3 | 0.00 |
| 4 | 0.00 |
| 5 | 0.00 |
| 6 | 0.00 |
| 7 | 0.02 |
| 8 | 0.00 |
| 9 | 0.00 |
| 10 | 0.00 |
| 11 | 0.00 |
| 12 | 0.00 |
| 13 | 0.00 |
| 14 | 0.00 |
| 15 | 0.01 |
| 16 | 0.00 |
| 17 | 0.00 |
| 18 | 0.01 |
| 19 | 0.00 |
| 20 | 0.00 |
| 21 | 0.01 |
| 22 | 0.01 |
| 23 | 0.01 |